1.
! SiHOs2I | Alexandria via LeMat-Bulk | GGA-PBE | optimized geometry; values from VASP
! DOS at the Fermi energy ... 0.785 states/eV/atom
! SG ... No. 123
! Crystal system ... tetragonal
! Total DFT energy (no corrections) ... -0.398 Ry/atom
&SYSTEM
  ibrav = 0, nat = 5, ntyp = 4
/
ATOMIC_SPECIES
Si 28.09 Si.upf
H 1.01 H.upf
Os 190.23 Os.upf
I 126.90 I.upf
CELL_PARAMETERS angstrom
4.722 0.000 0.000
0.000 4.722 0.000
0.000 0.000 3.344
ATOMIC_POSITIONS crystal
Si 0.000 0.000 0.000
H 0.000 0.000 0.500
Os 0.000 0.500 0.000
Os 0.500 0.000 0.000
I 0.500 0.500 0.500

***

2.
! Be2TeI8 | Alexandria via LeMat-Bulk | GGA-PBE | optimized geometry; values from VASP
! SG ... No. 12
! Crystal system ... monoclinic
! Formation energy (no corrections) ... -315 meV/atom
&SYSTEM
  ibrav = 0, nat = 11, ntyp = 3
/
ATOMIC_SPECIES
Be 9.01 Be.upf
Te 127.60 Te.upf
I 126.90 I.upf
CELL_PARAMETERS angstrom
7.676 -4.757 0.000
7.676 4.757 0.000
-0.369 0.000 6.864
ATOMIC_POSITIONS crystal
Be 0.166 0.166 0.413
Be 0.834 0.834 0.587
Te 0.000 0.000 0.000
I 0.117 0.703 0.731
I 0.165 0.165 0.769
I 0.297 0.883 0.269
I 0.316 0.316 0.375
I 0.684 0.684 0.625
I 0.703 0.117 0.731
I 0.835 0.835 0.231
I 0.883 0.297 0.269

***

3.
! KGeBTe2 | Alexandria via LeMat-Bulk | GGA-PBE | optimized geometry; values from VASP
! DOS at the Fermi energy ... 0.539 states/eV/atom
! SG ... No. 123
! Crystal system ... tetragonal
! Formation energy (no corrections) ... 1636 meV/atom
&SYSTEM
  ibrav = 0, nat = 5, ntyp = 4
/
ATOMIC_SPECIES
K 39.10 K.upf
Ge 72.64 Ge.upf
B 10.81 B.upf
Te 127.60 Te.upf
CELL_PARAMETERS angstrom
6.011 0.000 0.000
0.000 6.011 0.000
0.000 0.000 4.848
ATOMIC_POSITIONS crystal
K 0.000 0.000 0.000
Ge 0.500 0.500 0.500
B 0.000 0.000 0.500
Te 0.000 0.500 0.000
Te 0.500 0.000 0.000

***

4.
! ScAl2Tc | Alexandria via LeMat-Bulk | GGA-PBE | optimized geometry; values from VASP
! DOS at the Fermi energy ... 0.782 states/eV/atom
! SG ... No. 225
! Energy of formation ... -384 meV/atom
! Distance to the lowest polymorph of the same formula ... 30 meV/atom
! Crystal system ... cubic
&SYSTEM
  ibrav = 0, nat = 16, ntyp = 3
/
ATOMIC_SPECIES
Sc 44.96 Sc.upf
Al 26.98 Al.upf
Tc 98.00 Tc.upf
CELL_PARAMETERS angstrom
6.352 0.000 0.000
0.000 6.352 0.000
0.000 0.000 6.352
ATOMIC_POSITIONS crystal
Sc 0.000 0.000 0.000
Sc 0.000 0.500 0.500
Sc 0.500 0.000 0.500
Sc 0.500 0.500 0.000
Al 0.250 0.250 0.250
Al 0.250 0.250 0.750
Al 0.250 0.750 0.250
Al 0.250 0.750 0.750
Al 0.750 0.250 0.250
Al 0.750 0.250 0.750
Al 0.750 0.750 0.250
Al 0.750 0.750 0.750
Tc 0.000 0.000 0.500
Tc 0.000 0.500 0.000
Tc 0.500 0.000 0.000
Tc 0.500 0.500 0.500

***

5.
! Ba2CaAg2 | Alexandria via LeMat-Bulk | GGA-PBE | optimized geometry; values from VASP
! DOS at the Fermi energy ... 1.268 states/eV/atom
! SG ... No. 139
! Energy of formation ... 12 meV/atom
! Distance to the lowest polymorph of the same formula ... 252 meV/atom
! Crystal system ... tetragonal
&SYSTEM
  ibrav = 0, nat = 10, ntyp = 3
/
ATOMIC_SPECIES
Ba 137.33 Ba.upf
Ca 40.08 Ca.upf
Ag 107.87 Ag.upf
CELL_PARAMETERS angstrom
4.043 0.000 0.000
0.000 4.043 0.000
0.000 0.000 24.285
ATOMIC_POSITIONS crystal
Ba 0.000 0.000 0.134
Ba 0.000 0.000 0.866
Ba 0.500 0.500 0.366
Ba 0.500 0.500 0.634
Ca 0.000 0.000 0.500
Ca 0.500 0.500 0.000
Ag 0.000 0.500 0.250
Ag 0.000 0.500 0.750
Ag 0.500 0.000 0.250
Ag 0.500 0.000 0.750

***

6.
! Pm3Y8Er4 | Alexandria via LeMat-Bulk | GGA-PBE | optimized geometry; values from VASP
! DOS at the Fermi energy ... 2.004 states/eV/atom
! SG ... No. 12
! Energy of formation ... 399 meV/atom
! Crystal system ... monoclinic
&SYSTEM
  ibrav = 0, nat = 15, ntyp = 3
/
ATOMIC_SPECIES
Pm 145.00 Pm.upf
Y 88.91 Y.upf
Er 167.26 Er.upf
CELL_PARAMETERS angstrom
6.731 -6.408 0.000
6.731 6.408 0.000
-3.380 0.000 5.840
ATOMIC_POSITIONS crystal
Pm 0.000 0.000 0.000
Pm 0.000 0.500 0.500
Pm 0.500 0.000 0.500
Y 0.144 0.856 0.500
Y 0.230 0.230 0.508
Y 0.243 0.243 0.001
Y 0.250 0.750 0.000
Y 0.750 0.250 0.000
Y 0.757 0.757 0.999
Y 0.770 0.770 0.492
Y 0.856 0.144 0.500
Er 0.000 0.500 0.000
Er 0.500 0.000 0.000
Er 0.500 0.500 0.000
Er 0.500 0.500 0.500

***

7.
! PmNd4Er3S8 | Alexandria via LeMat-Bulk | GGA-PBE | optimized geometry; values from VASP
! DOS at the Fermi energy ... 0.446 states/eV/atom
! SG ... No. 166
! Crystal system ... trigonal
! Formation energy (no corrections) ... -1999 meV/atom
&SYSTEM
  ibrav = 0, nat = 16, ntyp = 4
/
ATOMIC_SPECIES
Pm 145.00 Pm.upf
Nd 144.24 Nd.upf
Er 167.26 Er.upf
S 32.06 S.upf
CELL_PARAMETERS angstrom
3.961 2.287 6.618
-3.961 2.287 6.618
0.000 -4.574 6.618
ATOMIC_POSITIONS crystal
Pm 0.000 0.000 0.000
Nd 0.000 0.000 0.500
Nd 0.000 0.500 0.000
Nd 0.500 0.000 0.000
Nd 0.500 0.500 0.500
Er 0.000 0.500 0.500
Er 0.500 0.000 0.500
Er 0.500 0.500 0.000
S 0.249 0.249 0.737
S 0.249 0.737 0.249
S 0.257 0.257 0.257
S 0.263 0.751 0.751
S 0.737 0.249 0.249
S 0.743 0.743 0.743
S 0.751 0.263 0.751
S 0.751 0.751 0.263

***

8.
! MnRe2P | Alexandria via LeMat-Bulk | GGA-PBE | optimized geometry; values from VASP
! DOS at the Fermi energy ... 0.922 states/eV/atom
! SG ... No. 119
! Energy of formation ... 191 meV/atom
! Crystal system ... tetragonal
&SYSTEM
  ibrav = 0, nat = 8, ntyp = 3
/
ATOMIC_SPECIES
Mn 54.94 Mn.upf
Re 186.21 Re.upf
P 30.97 P.upf
CELL_PARAMETERS angstrom
3.682 0.000 0.000
0.000 3.682 0.000
0.000 0.000 7.924
ATOMIC_POSITIONS crystal
Mn 0.000 0.000 0.000
Mn 0.500 0.500 0.500
Re 0.000 0.000 0.500
Re 0.000 0.500 0.250
Re 0.500 0.000 0.750
Re 0.500 0.500 0.000
P 0.000 0.500 0.750
P 0.500 0.000 0.250

***

What did the third record say?
! KGeBTe2 | Alexandria via LeMat-Bulk | GGA-PBE | optimized geometry; values from VASP
! DOS at the Fermi energy ... 0.539 states/eV/atom
! SG ... No. 123
! Crystal system ... tetragonal
! Formation energy (no corrections) ... 1636 meV/atom
&SYSTEM
  ibrav = 0, nat = 5, ntyp = 4
/
ATOMIC_SPECIES
K 39.10 K.upf
Ge 72.64 Ge.upf
B 10.81 B.upf
Te 127.60 Te.upf
CELL_PARAMETERS angstrom
6.011 0.000 0.000
0.000 6.011 0.000
0.000 0.000 4.848
ATOMIC_POSITIONS crystal
K 0.000 0.000 0.000
Ge 0.500 0.500 0.500
B 0.000 0.000 0.500
Te 0.000 0.500 0.000
Te 0.500 0.000 0.000

***

> Which formula does entry 4 have?

ScAl2Tc